(1)
YCuReSn | GGA-PBE | relaxed

Properties
Space group: F-43m, No. 216
Energy above the lowest structure with this stoichiometry in meV per atom: 351
M_tot in μB per formula unit: 0.00

abc: 4.777 4.777 4.777
angles: 60.00 60.00 60.00
Fractional positions:
1 Y 0.000 0.000 0.000
2 Cu 0.500 0.500 0.500
3 Re 0.750 0.750 0.750
4 Sn 0.250 0.250 0.250

=====

(2)
Zn2In | GGA-PBE | relaxed

Properties
Space group: P2_1/m, No. 11
Calculated total energy in eV/atom: -1.67

abc: 7.626 4.679 13.117
angles: 90.00 100.67 90.00
Fractional positions:
1 Zn 0.038 0.250 0.230
2 Zn 0.054 0.750 0.569
3 Zn 0.077 0.750 0.368
4 Zn 0.080 0.750 0.977
5 Zn 0.270 0.250 0.072
6 Zn 0.301 0.250 0.383
7 Zn 0.388 0.750 0.496
8 Zn 0.435 0.750 0.021
9 Zn 0.565 0.250 0.979
10 Zn 0.612 0.250 0.504
11 Zn 0.699 0.750 0.617
12 Zn 0.730 0.750 0.928
13 Zn 0.920 0.250 0.023
14 Zn 0.923 0.250 0.632
15 Zn 0.946 0.250 0.431
16 Zn 0.962 0.750 0.770
17 In 0.168 0.250 0.849
18 In 0.300 0.250 0.615
19 In 0.308 0.750 0.223
20 In 0.399 0.750 0.773
21 In 0.601 0.250 0.227
22 In 0.692 0.250 0.777
23 In 0.700 0.750 0.385
24 In 0.832 0.750 0.151

=====

(3)
AlOsNO | GGA-PBE | relaxed

Properties
Space group: Pmc2_1, No. 26
Energy above the lowest structure with this stoichiometry in meV per atom: 0
M_tot in μB per formula unit: 0.00

abc: 3.043 5.806 4.962
angles: 90.00 90.00 90.00
Fractional positions:
1 Al 0.000 0.157 0.000
2 Al 0.000 0.843 0.500
3 Os 0.500 0.412 0.474
4 Os 0.500 0.588 0.974
5 N 0.500 0.262 0.843
6 N 0.500 0.738 0.343
7 O 0.000 0.141 0.363
8 O 0.000 0.859 0.863